Record 1
DFT (PBE) results for YCoSi2Ni after structural relaxation.

Calculated values
Mass density (g/cm3): 5.8
Space-group type: I-4m2, No. 119
Volume (Å³/atom): 14.946
Final energy (eV/atom): -6.864
ΔE_f (raw) (eV/atom): -0.8249

a b c (Å): 5.585 5.585 5.585
angles (deg): 138.83 138.83 59.63
Positions (direct):
Y 0.000 0.000 0.000
Co 0.750 0.250 0.500
Si 0.373 0.373 0.000
Si 0.627 0.627 0.000
Ni 0.250 0.750 0.500

Record 2
DFT (PBE) results for LiDy2Ir2 after structural relaxation.

Calculated values
Mass density (g/cm3): 11.9
Space-group type: Immm, No. 71
Volume (Å³/atom): 20.003
Final energy (eV/atom): -6.453
E_form (meV per atom): -685

a b c (Å): 5.432 5.432 5.432
angles (deg): 134.53 114.63 83.22
Positions (direct):
Li 0.000 0.000 0.000
Dy 0.293 0.793 0.500
Dy 0.707 0.207 0.500
Ir 0.273 0.500 0.773
Ir 0.727 0.500 0.227

volume of number 1 (YCoSi2Ni)?
14.946 Å³/atom

Which of these has the lowest volume?
YCoSi2Ni

The lowest final energy belongs to which entry?
YCoSi2Ni

What did the first record say?
DFT (PBE) results for YCoSi2Ni after structural relaxation.

Calculated values
Mass density (g/cm3): 5.8
Space-group type: I-4m2, No. 119
Volume (Å³/atom): 14.946
Final energy (eV/atom): -6.864
ΔE_f (raw) (eV/atom): -0.8249

a b c (Å): 5.585 5.585 5.585
angles (deg): 138.83 138.83 59.63
Positions (direct):
Y 0.000 0.000 0.000
Co 0.750 0.250 0.500
Si 0.373 0.373 0.000
Si 0.627 0.627 0.000
Ni 0.250 0.750 0.500